1.
Below is a relaxed LaCuOs crystal, with properties calculated at the PBE level.

The calculation puts the energy of formation at 0.1303 eV per atom. As for the offset from the most stable computed form: 0.1830 eV per atom. The total DFT energy (no corrections) is -19.86 eV for the cell shown.

Cell and atoms, written as POSCAR:
```
LaCuOs
1.0
4.229 0.000 0.000
-2.114 3.662 0.000
0.000 0.000 4.126
La Cu Os
1 1 1
Cartesian
0.000 0.000 0.000 La
0.000 2.441 2.063 Cu
2.114 1.221 2.063 Os
```



2.
Below is a relaxed LaCuOs crystal, with properties calculated at the PBE level.

The calculation puts the energy of formation at 0.4413 eV per atom. As for the offset from the most stable computed form: 0.4939 eV per atom. The total DFT energy (no corrections) is -18.93 eV for the cell shown.

Cell and atoms, written as POSCAR:
```
LaCuOs
1.0
0.000 3.205 3.205
3.205 0.000 3.205
3.205 3.205 0.000
La Cu Os
1 1 1
Cartesian
0.000 0.000 0.000 La
3.205 3.205 3.205 Cu
4.807 4.807 4.807 Os
```



The records above give, respectively, magnetization values of 0.00, 0.00 μB/cell.